# PBE-GGA AgMo2As, optimized geometry
# **Formation energy from the elements**: 261 meV/atom
# **Space group**: R3m, No. 160
# **Energy**: -28.12 eV/cell
# **D(E_F)**: 3.601 states/eV per cell
data_AgMo2As
_space_group_name_H-M_alt 'P 1'
_space_group_IT_number 1
_space_group_name_Hall 'P 1'
_cell_length_a 9.110
_cell_length_b 9.110
_cell_length_c 9.110
_cell_angle_alpha 18.98
_cell_angle_beta 18.98
_cell_angle_gamma 18.98
loop_
_atom_site_label
_atom_site_fract_x
_atom_site_fract_y
_atom_site_fract_z
_atom_site_occupancy
Mo1 0.000 0.000 0.000 1
Mo2 0.259 0.259 0.259 1
As1 0.740 0.740 0.740 1
Ag1 0.502 0.502 0.502 1